TmZnSi: relaxed, PBE.

Total DFT energy (no corrections) (eV per atom): -3.999

Cell: 4.4407 4.4407 4.4407 Å, 60.00 60.00 60.00°
With the nearest neighbours (Å) after each atom.
Fractional coordinates of all 3 atoms:
Zn: 0.7500 0.7500 0.7500  4 Si 2.72
Si: 0.0000 0.0000 0.0000  4 Tm 2.72, 4 Zn 2.72
Tm: 0.2500 0.2500 0.2500  4 Si 2.72